Record 1
Material: KRbZnIr2
Method: DFT, PBE
State: optimized geometry

a = 4.7832 Å, b = 4.7832 Å, c = 5.7023 Å
α = 90.00°, β = 90.00°, γ = 90.00°
Last column: nearest neighbours and their distance in Å.
Element x y z (fractional)
K 0.0000 0.0000 0.0000  2 Zn 2.85
Rb 0.5000 0.5000 0.0000  4 K 3.38, 8 Ir 3.72
Zn 0.0000 0.0000 0.5000  4 Ir 2.39
Ir 0.0000 0.5000 0.5000  2 Zn 2.39
Ir 0.5000 0.0000 0.5000  2 Zn 2.39

The final energy is -3.33 eV per atom. Its formation energy is 0.88 eV/atom. The space group is P4/mmm. The magnetization is 0.72 Bohr magnetons per cell.

Record 2
Material: ErTcGe3
Method: DFT, PBE
State: optimized geometry

a = 6.3172 Å, b = 6.3172 Å, c = 5.9248 Å
α = 90.00°, β = 90.00°, γ = 127.39°
Last column: nearest neighbours and their distance in Å.
Element x y z (fractional)
Er 0.1004 0.8996 0.7500  8 Ge 2.93-3.26
Er 0.8996 0.1004 0.2500  8 Ge 2.93-3.26
Tc 0.5000 0.5000 0.0000  6 Ge 2.52-2.56
Tc 0.5000 0.5000 0.5000  6 Ge 2.52-2.56
Ge 0.1070 0.3671 0.7500  2 Ge 2.52-2.65, 2 Tc 2.56
Ge 0.3197 0.6803 0.2500  2 Tc 2.52, 2 Ge 2.52
Ge 0.3671 0.1070 0.2500  2 Ge 2.52-2.65, 2 Tc 2.56
Ge 0.6329 0.8930 0.7500  2 Ge 2.52-2.65, 2 Tc 2.56
Ge 0.6803 0.3197 0.7500  2 Tc 2.52, 2 Ge 2.52
Ge 0.8930 0.6329 0.2500  2 Ge 2.52-2.65, 2 Tc 2.56

The final energy is -6.13 eV per atom. Its formation energy is -0.37 eV/atom. The space group is Cmcm. The magnetization is 0.00 Bohr magnetons per cell.

Record 3
Material: Ca2PAuO
Method: DFT, PBE
State: optimized geometry

a = 4.7046 Å, b = 4.7046 Å, c = 4.4080 Å
α = 90.00°, β = 90.00°, γ = 90.00°
Last column: nearest neighbours and their distance in Å.
Element x y z (fractional)
Ca 0.0000 0.5000 0.0000  2 O 2.35
Ca 0.5000 0.0000 0.0000  2 O 2.35
P 0.0000 0.0000 0.5000  8 Ca 3.22, 4 Au 3.33
Au 0.5000 0.5000 0.5000  2 O 2.20
O 0.5000 0.5000 0.0000  2 Au 2.20, 4 Ca 2.35

The final energy is -4.71 eV per atom. The space group is P4/mmm. The magnetization is 0.00 Bohr magnetons per cell. The uncorrected formation energy is -1.179 eV per atom.

Record 4
Material: Ta2MnFeRh
Method: DFT, PBE
State: optimized geometry

a = 4.5426 Å, b = 4.5426 Å, c = 4.0564 Å
α = 90.00°, β = 90.00°, γ = 90.00°
Last column: nearest neighbours and their distance in Å.
Element x y z (fractional)
Ta 0.0000 0.5000 0.0000  2 Fe 2.27
Ta 0.5000 0.0000 0.0000  2 Fe 2.27
Mn 0.0000 0.0000 0.5000  2 Fe 2.03
Fe 0.0000 0.0000 0.0000  2 Mn 2.03, 4 Ta 2.27
Rh 0.5000 0.5000 0.5000  8 Ta 3.05, 4 Mn 3.21

The final energy is -8.97 eV per atom. Its formation energy is 0.76 eV/atom. The space group is P4/mmm. The magnetization is 0.00 Bohr magnetons per cell.

Record 5
Material: Tm4TlTe2As
Method: DFT, PBE
State: optimized geometry

a = 7.4542 Å, b = 4.1758 Å, c = 7.4607 Å
α = 90.00°, β = 108.56°, γ = 90.00°
Last column: nearest neighbours and their distance in Å.
Element x y z (fractional)
Tm 0.2350 0.0000 0.2219  2 As 2.88, 1 Tl 2.95, 3 Te 3.11-3.16
Tm 0.2476 0.5000 0.7662  1 As 2.92, 2 Tl 2.98, 3 Te 3.06-3.14
Tm 0.7524 0.5000 0.2338  1 As 2.92, 2 Tl 2.98, 3 Te 3.06-3.14
Tm 0.7650 0.0000 0.7781  2 As 2.88, 1 Tl 2.95, 3 Te 3.11-3.16
Tl 0.5000 0.0000 0.0000  6 Tm 2.95-2.98
Te 0.0000 0.0000 0.5000  6 Tm 3.06-3.11
Te 0.5000 0.5000 0.5000  6 Tm 3.14-3.16
As 0.0000 0.5000 0.0000  6 Tm 2.88-2.92

The final energy is -4.95 eV per atom. The space group is P2/m. The magnetization is 0.00 Bohr magnetons per cell. The uncorrected formation energy is -1.055 eV per atom.

Record 6
Material: GdSiHg
Method: DFT, PBE
State: optimized geometry

a = 4.3539 Å, b = 4.3539 Å, c = 4.1646 Å
α = 90.00°, β = 90.00°, γ = 120.00°
Last column: nearest neighbours and their distance in Å.
Element x y z (fractional)
Gd 0.0000 0.0000 0.0000  3 Si 3.07, 6 Hg 3.13-3.40
Si 0.3333 0.6667 0.4240  3 Hg 2.57
Hg 0.6667 0.3333 0.5503  3 Si 2.57

The final energy is -7.03 eV per atom. The space group is P3m1. The magnetization is 7.21 Bohr magnetons per cell. The uncorrected formation energy is -0.425 eV per atom.

Record 7
Material: Ca2UCu2P4
Method: DFT, PBE
State: optimized geometry

a = 7.3312 Å, b = 7.3312 Å, c = 6.8204 Å
α = 110.45°, β = 110.45°, γ = 30.89°
Last column: nearest neighbours and their distance in Å.
Element x y z (fractional)
Ca 0.1383 0.1383 0.0788  7 P 2.96-3.11, 3 Cu 3.15-3.26
Ca 0.8617 0.8617 0.9212  7 P 2.96-3.11, 3 Cu 3.15-3.26
U 0.0000 0.0000 0.5000  6 P 2.68-2.69
Cu 0.3202 0.3202 0.5151  4 P 2.35-2.42
Cu 0.6798 0.6798 0.4849  4 P 2.35-2.42
P 0.2018 0.2018 0.6983  3 Cu 2.39-2.42
P 0.4875 0.4875 0.7610  1 Cu 2.35
P 0.5125 0.5125 0.2390  1 Cu 2.35
P 0.7982 0.7982 0.3017  3 Cu 2.39-2.42

The final energy is -5.82 eV per atom. Its formation energy is -0.81 eV/atom. The space group is C2/m. The magnetization is 0.21 Bohr magnetons per cell.

Record 8
Material: CrSi2Ag
Method: DFT, PBE
State: optimized geometry

a = 2.7269 Å, b = 2.7269 Å, c = 7.9444 Å
α = 90.00°, β = 90.00°, γ = 97.08°
Last column: nearest neighbours and their distance in Å.
Element x y z (fractional)
Cr 0.0000 0.0000 0.0000  8 Si 2.44-2.62, 4 Cr 2.73
Si 0.5000 0.5000 0.2065  4 Cr 2.44-2.62, 4 Si 2.73
Si 0.5000 0.5000 0.7935  4 Cr 2.44-2.62, 4 Si 2.73
Ag 0.0000 0.0000 0.5000  4 Ag 2.73, 4 Si 2.95

The final energy is -5.63 eV per atom. As for the distance to the lowest polymorph of the same formula: 48 meV/atom. The space group is Cmmm. The magnetization is 1.34 Bohr magnetons per cell. The uncorrected formation energy is 0.196 eV per atom.

Record 9
Material: MnP2SN
Method: DFT, PBE
State: optimized geometry

a = 4.0102 Å, b = 4.0102 Å, c = 4.2107 Å
α = 90.00°, β = 90.00°, γ = 90.00°
Last column: nearest neighbours and their distance in Å.
Element x y z (fractional)
Mn 0.0000 0.0000 0.0000  4 S 2.84, 8 P 2.91
P 0.0000 0.5000 0.5000  2 N 2.01
P 0.5000 0.0000 0.5000  2 N 2.01
S 0.5000 0.5000 0.0000  2 N 2.11
N 0.5000 0.5000 0.5000  4 P 2.01, 2 S 2.11

The final energy is -5.61 eV per atom. As for the distance to the lowest polymorph of the same formula: 0 meV/atom. The space group is P4/mmm. The magnetization is 3.36 Bohr magnetons per cell. The uncorrected formation energy is 0.881 eV per atom.

Record 10
Material: Co2AgIr
Method: DFT, PBE
State: optimized geometry

a = 2.6475 Å, b = 2.6475 Å, c = 8.9950 Å
α = 90.00°, β = 90.00°, γ = 117.12°
Last column: nearest neighbours and their distance in Å.
Element x y z (fractional)
Co 0.0000 0.0000 0.0000  6 Co 2.37-2.65
Co 0.5000 0.5000 0.2146  6 Co 2.37-2.65, 2 Ir 2.55
Ag 0.5000 0.5000 0.7379  6 Ag 2.65-2.76, 2 Co 2.73, 2 Ir 2.91
Ir 0.0000 0.0000 0.4533  2 Co 2.55, 6 Ir 2.65-2.76

The final energy is -6.14 eV per atom. Its formation energy is 0.34 eV/atom. The space group is Cmm2. The magnetization is 4.23 Bohr magnetons per cell.

Record 11
Material: NpPaGa
Method: DFT, PBE
State: optimized geometry

a = 4.8869 Å, b = 4.8869 Å, c = 3.0562 Å
α = 90.00°, β = 90.00°, γ = 120.00°
Last column: nearest neighbours and their distance in Å.
Element x y z (fractional)
Np 0.0000 0.0000 0.0000  3 Pa 2.95, 3 Ga 3.00, 2 Np 3.06
Pa 0.3333 0.6667 0.7215  3 Np 2.95, 3 Ga 3.05, 2 Pa 3.06
Ga 0.6667 0.3333 0.3382  3 Np 3.00, 3 Pa 3.05, 2 Ga 3.06

The final energy is -8.42 eV per atom. Its formation energy is 0.07 eV/atom. As for the distance to the lowest polymorph of the same formula: 17 meV/atom. The space group is P3m1. The magnetization is 4.52 Bohr magnetons per cell.

Record 12
Material: NaSrTlCu
Method: DFT, PBE
State: optimized geometry

a = 5.2356 Å, b = 5.2356 Å, c = 5.2356 Å
α = 60.00°, β = 60.00°, γ = 60.00°
Last column: nearest neighbours and their distance in Å.
Element x y z (fractional)
Na 0.0000 0.0000 0.0000  4 Tl 3.21, 4 Sr 3.21
Sr 0.2500 0.2500 0.2500  4 Na 3.21, 4 Cu 3.21
Tl 0.7500 0.7500 0.7500  4 Na 3.21, 4 Cu 3.21
Cu 0.5000 0.5000 0.5000  4 Tl 3.21, 4 Sr 3.21

The final energy is -2.36 eV per atom. Its formation energy is 0.00 eV/atom. The space group is F-43m. The magnetization is 0.00 Bohr magnetons per cell.